{"formula": "TlHgB3", "functional": "PBE", "state": "relaxed", "relative_energy_ev_per_atom": 0.260, "formation_energy_mev_per_atom": 2403, "cell": [[4.656, 0.000, 0.000], [0.000, 4.656, 0.000], [0.000, 0.000, 4.656]], "species": ["Tl", "Hg", "B", "B", "B"], "frac_coords": [[0.000, 0.000, 0.000], [0.500, 0.500, 0.500], [0.000, 0.000, 0.500], [0.000, 0.500, 0.000], [0.500, 0.000, 0.000]]}


{"formula": "TlHg3B", "functional": "PBE", "state": "relaxed", "relative_energy_ev_per_atom": 0.801, "formation_energy_mev_per_atom": 1274, "cell": [[5.888, 0.000, 0.000], [0.000, 5.888, 0.000], [0.000, 0.000, 5.888]], "species": ["Tl", "Hg", "Hg", "Hg", "B"], "frac_coords": [[0.000, 0.000, 0.000], [0.000, 0.000, 0.500], [0.000, 0.500, 0.000], [0.500, 0.000, 0.000], [0.500, 0.500, 0.500]]}


{"formula": "Tl2HgB", "functional": "PBE", "state": "relaxed", "relative_energy_ev_per_atom": 0.000, "formation_energy_mev_per_atom": 681, "cell": [[6.579, 0.000, 0.000], [0.000, 6.579, 0.000], [0.000, 0.000, 10.806]], "species": ["Tl", "Tl", "Tl", "Tl", "Tl", "Tl", "Tl", "Tl", "Hg", "Hg", "Hg", "Hg", "B", "B", "B", "B"], "frac_coords": [[0.118, 0.250, 0.125], [0.250, 0.618, 0.375], [0.250, 0.882, 0.875], [0.382, 0.250, 0.625], [0.618, 0.750, 0.625], [0.750, 0.118, 0.875], [0.750, 0.382, 0.375], [0.882, 0.750, 0.125], [0.000, 0.000, 0.500], [0.000, 0.500, 0.750], [0.500, 0.000, 0.250], [0.500, 0.500, 0.000], [0.000, 0.000, 0.000], [0.000, 0.500, 0.250], [0.500, 0.000, 0.750], [0.500, 0.500, 0.500]]}


{"formula": "Tl2HgB", "functional": "PBE", "state": "relaxed", "relative_energy_ev_per_atom": 0.296, "formation_energy_mev_per_atom": 977, "cell": [[7.284, 0.000, 0.000], [0.000, 7.284, 0.000], [0.000, 0.000, 7.284]], "species": ["Tl", "Tl", "Tl", "Tl", "Tl", "Tl", "Tl", "Tl", "Hg", "Hg", "Hg", "Hg", "B", "B", "B", "B"], "frac_coords": [[0.250, 0.250, 0.250], [0.250, 0.250, 0.750], [0.250, 0.750, 0.250], [0.250, 0.750, 0.750], [0.750, 0.250, 0.250], [0.750, 0.250, 0.750], [0.750, 0.750, 0.250], [0.750, 0.750, 0.750], [0.000, 0.000, 0.000], [0.000, 0.500, 0.500], [0.500, 0.000, 0.500], [0.500, 0.500, 0.000], [0.000, 0.000, 0.500], [0.000, 0.500, 0.000], [0.500, 0.000, 0.000], [0.500, 0.500, 0.500]]}